1.
The following is a DFT calculation (PBE-GGA) of crystalline TbScPbC at its relaxed geometry.

Cell and atoms, written as POSCAR:
```
TbScPbC
1.0
-0.472 -3.492 -0.131
3.262 1.339 0.015
0.179 -0.616 15.743
Tb Pb Sc C
2 2 2 2
Direct
0.333 0.667 0.087 Tb
0.667 0.333 0.913 Tb
0.333 0.667 0.737 Pb
0.667 0.333 0.263 Pb
0.333 0.667 0.425 Sc
0.667 0.333 0.575 Sc
0.000 0.000 0.500 C
0.000 0.000 0.000 C
```

## Properties
The space group is P-3m1, No. 164. The calculation puts the magnetization at 0.00 μB per formula unit. The calculation puts the total energy at -6.484 eV per atom. The volume is 21.2 Å³ per atom.

2.
The following is a DFT calculation (PBE-GGA) of crystalline HoCl2 at its relaxed geometry.

Cell and atoms, written as POSCAR:
```
HoCl2
1.0
-2.619 6.159 1.379
-1.832 0.688 -6.548
-3.042 -1.450 0.699
Ho Cl
2 4
Direct
0.000 0.000 0.000 Ho
0.500 0.500 0.500 Ho
0.719 0.719 0.000 Cl
0.281 0.281 0.000 Cl
0.781 0.219 0.500 Cl
0.219 0.781 0.500 Cl
```

## Properties
The space group is P4_2/mnm, No. 136. The calculation puts the magnetization at 0.15 μB per formula unit. The calculation puts the total energy at -4.610 eV per atom. The volume is 26.8 Å³ per atom.

3.
The following is a DFT calculation (PBE-GGA) of crystalline Al8Re7 at its relaxed geometry.

Cell and atoms, written as POSCAR:
```
Al8Re7
1.0
-0.253 -7.247 5.844
-4.889 -4.871 -6.253
4.396 -1.797 -2.037
Re Al
14 16
Direct
0.820 0.820 0.249 Re
0.180 0.180 0.751 Re
0.680 0.320 0.251 Re
0.095 0.905 0.500 Re
0.820 0.820 0.751 Re
0.595 0.595 0.000 Re
0.680 0.320 0.749 Re
0.905 0.095 0.500 Re
0.405 0.405 0.000 Re
0.320 0.680 0.251 Re
0.000 0.000 0.000 Re
0.180 0.180 0.249 Re
0.500 0.500 0.500 Re
0.320 0.680 0.749 Re
0.042 0.639 0.500 Al
0.763 0.569 0.500 Al
0.737 0.069 0.000 Al
0.542 0.861 0.000 Al
0.861 0.542 0.000 Al
0.639 0.042 0.500 Al
0.431 0.237 0.500 Al
0.958 0.361 0.500 Al
0.237 0.431 0.500 Al
0.069 0.737 0.000 Al
0.263 0.931 0.000 Al
0.569 0.763 0.500 Al
0.931 0.263 0.000 Al
0.139 0.458 0.000 Al
0.458 0.139 0.000 Al
0.361 0.958 0.500 Al
```

## Properties
The space group is P4_2/mnm, No. 136. The calculation puts the magnetization at 0.00 μB per formula unit. The calculation puts the total energy at -7.830 eV per atom. The volume is 14.9 Å³ per atom. As for the energy relative to the lowest polymorph listed for this composition: 74.7 meV per atom.

4.
The following is a DFT calculation (PBE-GGA) of crystalline LaNiP at its relaxed geometry.

Cell and atoms, written as POSCAR:
```
LaNiP
1.0
-0.532 3.562 -1.806
-2.167 -0.948 3.261
11.487 6.553 9.541
Ni P La
4 4 4
Direct
0.333 0.667 0.124 Ni
0.667 0.333 0.624 Ni
0.333 0.667 0.376 Ni
0.667 0.333 0.876 Ni
0.333 0.667 0.875 P
0.667 0.333 0.125 P
0.333 0.667 0.625 P
0.667 0.333 0.375 P
0.000 0.000 0.000 La
0.000 0.000 0.750 La
0.000 0.000 0.500 La
0.000 0.000 0.250 La
```

## Properties
The space group is P6_3/mmc, No. 194. The calculation puts the magnetization at 0.00 μB per formula unit. The calculation puts the total energy at -6.483 eV per atom. The volume is 19.1 Å³ per atom.

5.
The following is a DFT calculation (PBE-GGA) of crystalline NdMgGa at its relaxed geometry.

Cell and atoms, written as POSCAR:
```
NdMgGa
1.0
-0.145 -2.161 7.808
5.619 -3.087 -4.954
2.533 3.140 0.916
Mg Ga Nd
3 3 3
Direct
0.000 0.600 0.500 Mg
0.400 0.400 0.500 Mg
0.600 0.000 0.500 Mg
0.333 0.667 0.000 Ga
0.000 0.000 0.500 Ga
0.667 0.333 0.000 Ga
0.000 0.267 0.000 Nd
0.733 0.733 0.000 Nd
0.267 0.000 0.000 Nd
```

## Properties
The space group is P-62m, No. 189. The calculation puts the magnetization at 0.12 μB per formula unit. The calculation puts the total energy at -3.348 eV per atom. The volume is 26.1 Å³ per atom.

6.
The following is a DFT calculation (PBE-GGA) of crystalline SiTeW at its relaxed geometry.

Cell and atoms, written as POSCAR:
```
SiTeW
1.0
0.000 3.112 3.112
3.112 0.000 3.112
3.112 3.112 0.000
W Te Si
1 1 1
Direct
0.750 0.750 0.750 W
0.250 0.250 0.250 Te
0.000 0.000 0.000 Si
```

## Properties
The space group is F-43m, No. 216. The calculation puts the magnetization at 0.01 μB per formula unit. The calculation puts the total energy at -6.154 eV per atom. The volume is 20.1 Å³ per atom. As for the energy relative to the lowest polymorph listed for this composition: 287.6 meV per atom.

7.
The following is a DFT calculation (PBE-GGA) of crystalline Ba4Gd4B3 at its relaxed geometry.

Cell and atoms, written as POSCAR:
```
Ba4Gd4B3
1.0
-2.495 -3.199 0.150
3.442 -0.982 -3.528
10.960 -6.924 14.272
Gd Ba B
4 4 3
Direct
0.383 0.721 0.044 Gd
0.866 0.711 0.551 Gd
0.134 0.289 0.449 Gd
0.617 0.279 0.956 Gd
0.004 0.209 0.160 Ba
0.615 0.753 0.326 Ba
0.385 0.247 0.674 Ba
0.996 0.791 0.840 Ba
0.000 0.000 0.000 B
0.408 0.853 0.478 B
0.592 0.147 0.522 B
```

## Properties
The space group is P-1, No. 2. The calculation puts the magnetization at 0.00 μB per formula unit. The calculation puts the total energy at -4.033 eV per atom. The volume is 34.1 Å³ per atom.

8.
The following is a DFT calculation (PBE-GGA) of crystalline ScCuPd2 at its relaxed geometry.

Cell and atoms, written as POSCAR:
```
ScCuPd2
1.0
-2.136 -3.269 2.186
-1.419 0.667 4.192
-4.379 0.366 0.848
Sc Pd Cu
1 2 1
Direct
0.000 0.000 0.000 Sc
0.500 0.500 0.500 Pd
0.250 0.250 0.250 Pd
0.750 0.750 0.750 Cu
```

## Properties
The space group is F-43m, No. 216. The calculation puts the magnetization at 0.00 μB per formula unit. The calculation puts the total energy at -5.627 eV per atom. The calculation puts the formation energy at -0.53 eV per atom. The volume is 15.8 Å³ per atom.